No. 1
Density functional theory data (PBE) for an optimized crystal structure of Pr15Sm4Al.

a b c (Å): 5.1472 5.1472 26.0670
angles (deg): 90.00 90.00 90.00
Last column: nearest neighbours and their distance in Å.
Fractional positions:
Pr  0.5000  0.5000  0.0000  8 Pr 3.53, 4 Al 3.64
Pr  0.5000  0.5000  0.1948  4 Sm 3.64, 8 Pr 3.70
Pr  0.5000  0.5000  0.3982  4 Sm 3.64, 8 Pr 3.69-3.70
Pr  0.5000  0.5000  0.6018  4 Sm 3.64, 8 Pr 3.69-3.70
Pr  0.5000  0.5000  0.8052  4 Sm 3.64, 8 Pr 3.70
Pr  0.5000  0.0000  0.0928  8 Pr 3.53-3.70, 2 Al 3.53, 2 Sm 3.71
Pr  0.5000  0.0000  0.2966  8 Pr 3.64-3.70, 4 Sm 3.68-3.70
Pr  0.5000  0.0000  0.5000  8 Pr 3.64-3.70, 4 Sm 3.69
Pr  0.5000  0.0000  0.7034  8 Pr 3.64-3.70, 4 Sm 3.68-3.70
Pr  0.5000  0.0000  0.9072  8 Pr 3.53-3.70, 2 Al 3.53, 2 Sm 3.71
Pr  0.0000  0.5000  0.0928  2 Al 3.53, 8 Pr 3.53-3.70, 2 Sm 3.71
Pr  0.0000  0.5000  0.2966  8 Pr 3.64-3.70, 4 Sm 3.68-3.70
Pr  0.0000  0.5000  0.5000  8 Pr 3.64-3.70, 4 Sm 3.69
Pr  0.0000  0.5000  0.7034  8 Pr 3.64-3.70, 4 Sm 3.68-3.70
Pr  0.0000  0.5000  0.9072  2 Al 3.53, 8 Pr 3.53-3.70, 2 Sm 3.71
Sm  0.0000  0.0000  0.1954  12 Pr 3.64-3.71
Sm  0.0000  0.0000  0.3988  12 Pr 3.64-3.70
Sm  0.0000  0.0000  0.6012  12 Pr 3.64-3.70
Sm  0.0000  0.0000  0.8046  12 Pr 3.64-3.71
Al  0.0000  0.0000  0.0000  12 Pr 3.53-3.64

Output
As for the formation energy: -0.23 eV/f.u. The total energy is -4.727 eV per atom. As for the density of states at the Fermi level: 1.366 states/eV/atom. The size of the total moment is 0.00 μB per atom.


No. 2
Density functional theory data (PBE) for an optimized crystal structure of Pr2Sm8Al.

a b c (Å): 5.3832 8.0863 9.3046
angles (deg): 110.32 106.81 90.00
Last column: nearest neighbours and their distance in Å.
Fractional positions:
Pr  0.8092  0.3468  0.6184  9 Sm 3.38-3.60
Pr  0.1908  0.6532  0.3816  9 Sm 3.38-3.60
Sm  0.4073  0.5797  0.8145  1 Al 3.19, 2 Pr 3.38, 2 Sm 3.40
Sm  0.6638  0.9214  0.3276  1 Al 3.20, 1 Pr 3.47, 1 Sm 3.51
Sm  0.8279  0.7789  0.6558  3 Pr 3.39-3.53, 7 Sm 3.44-3.67
Sm  0.9789  0.2221  0.9579  2 Al 3.33, 6 Sm 3.40-3.62, 1 Pr 3.52
Sm  0.1721  0.2211  0.3442  3 Pr 3.39-3.53, 7 Sm 3.44-3.67
Sm  0.3362  0.0786  0.6724  1 Al 3.20, 1 Pr 3.47, 1 Sm 3.51
Sm  0.5927  0.4203  0.1855  1 Al 3.19, 2 Pr 3.38, 2 Sm 3.40
Sm  0.0211  0.7779  0.0421  2 Al 3.33, 6 Sm 3.40-3.62, 1 Pr 3.52
Al  0.5000  0.0000  0.0000  8 Sm 3.19-3.33

Output
As for the formation energy: 0.41 eV/f.u. The total energy is -4.604 eV per atom. As for the density of states at the Fermi level: 1.369 states/eV/atom. The size of the total moment is 0.00 μB per atom.